DFT (PBE) results for Sr2RhSe after structural relaxation.

The final energy is -3.839 eV/atom.

abc: 7.321 7.321 7.321
angles: 90.00 90.00 90.00
Space group F-43m (No. 216)
Asymmetric unit:
1 Sr 0.000 0.000 0.000 x4
2 Sr 0.250 0.250 0.250 x4
3 Rh 0.000 0.000 0.500 x4
4 Se 0.250 0.250 0.750 x4

---

DFT (PBE) results for HfTlAg2Te4 after structural relaxation.

The final energy is -4.072 eV/atom.

abc: 7.262 7.953 9.081
angles: 90.00 90.00 90.00
Space group I222 (No. 23)
Asymmetric unit:
1 Hf 0.000 0.000 0.000 x2
2 Tl 0.000 0.000 0.500 x2
3 Ag 0.000 0.500 0.336 x4
4 Te 0.205 0.218 0.831 x8

---

DFT (PBE) results for SiNi2Ir after structural relaxation.

The final energy is -6.821 eV/atom.

abc: 3.772 3.772 6.752
angles: 90.00 90.00 90.00
Space group I-4m2 (No. 119)
Asymmetric unit:
1 Si 0.000 0.000 0.000 x2
2 Ni 0.000 0.000 0.500 x2
3 Ni 0.000 0.500 0.250 x2
4 Ir 0.000 0.500 0.750 x2

---

DFT (PBE) results for Ac4InAgN after structural relaxation.

The final energy is -4.796 eV/atom.

abc: 7.465 16.723 7.476
angles: 90.00 90.00 90.00
Space group Cmcm (No. 63)
Asymmetric unit:
1 Ac 0.000 0.065 0.250 x4
2 Ac 0.000 0.418 0.250 x4
3 Ac 0.250 0.250 0.000 x8
4 In 0.000 0.382 0.750 x4
5 Ag 0.000 0.121 0.750 x4
6 N 0.000 0.268 0.250 x4

---

DFT (PBE) results for GeSbW after structural relaxation.

The final energy is -6.902 eV/atom.

abc: 5.240 9.674 18.393
angles: 90.00 90.00 90.00
Space group Fddd (No. 70, origin choice 2)
Asymmetric unit:
1 Ge 0.125 0.125 0.052 x16
2 Sb 0.125 0.294 0.625 x16
3 W 0.125 0.125 0.502 x16

---

DFT (PBE) results for Y2SiBr after structural relaxation.

The value obtained for the excess energy over the best structure of this formula in the dataset is 282 meV/atom.

abc: 4.557 5.413 7.927
angles: 90.00 90.00 90.00
Space group Cmmm (No. 65)
Asymmetric unit:
1 Y 0.000 0.000 0.216 x4
2 Si 0.000 0.500 0.000 x2
3 Br 0.000 0.500 0.500 x2

---

DFT (PBE) results for Pm4As6Pd5 after structural relaxation.

As for the formation enthalpy at 0 K: -0.973 eV/atom.

abc: 4.262 19.170 15.310
angles: 90.00 90.00 90.00
Space group Cmc2_1 (No. 36)
Asymmetric unit:
1 Pm 0.000 0.017 0.000 x4
2 Pm 0.000 0.036 0.259 x4
3 Pm 0.000 0.167 0.796 x4
4 Pm 0.000 0.183 0.442 x4
5 As 0.000 0.112 0.614 x4
6 As 0.000 0.219 0.985 x4
7 As 0.000 0.232 0.255 x4
8 As 0.000 0.420 0.624 x4
9 As 0.000 0.428 0.901 x4
10 As 0.000 0.442 0.345 x4
11 Pd 0.000 0.154 0.125 x4
12 Pd 0.000 0.306 0.115 x4
13 Pd 0.000 0.342 0.775 x4
14 Pd 0.000 0.356 0.468 x4
15 Pd 0.000 0.451 0.161 x4

---

DFT (PBE) results for HfVNi after structural relaxation.

The value obtained for the excess energy over the best structure of this formula in the dataset is 369 meV/atom. As for the formation enthalpy at 0 K: 0.243 eV/atom.

abc: 6.163 7.225 9.169
angles: 90.00 90.00 90.00
Space group Fmmm (No. 69)
Asymmetric unit:
1 Hf 0.000 0.000 0.245 x8
2 V 0.000 0.221 0.500 x8
3 Ni 0.216 0.000 0.000 x8

---

DFT (PBE) results for BeGa3Si after structural relaxation.

The value obtained for the excess energy over the best structure of this formula in the dataset is 0 meV/atom.

abc: 4.474 4.474 4.474
angles: 90.00 90.00 90.00
Space group Pm-3m (No. 221)
Asymmetric unit:
1 Be 0.000 0.000 0.000 x1
2 Ga 0.000 0.000 0.500 x3
3 Si 0.500 0.500 0.500 x1

---

DFT (PBE) results for ScTaGe2 after structural relaxation.

The value obtained for the excess energy over the best structure of this formula in the dataset is 213 meV/atom. As for the formation enthalpy at 0 K: -0.178 eV/atom.

abc: 7.201 7.201 5.899
angles: 90.00 90.00 90.00
Space group I-42d (No. 122)
Asymmetric unit:
1 Sc 0.000 0.000 0.000 x4
2 Ta 0.000 0.000 0.500 x4
3 Ge 0.240 0.750 0.625 x8

---

DFT (PBE) results for HfMg2Zr9 after structural relaxation.

As for the formation enthalpy at 0 K: 0.015 eV/atom.

abc: 4.508 4.508 13.413
angles: 90.00 90.00 90.00
Space group P4/mmm (No. 123)
Asymmetric unit:
1 Hf 0.000 0.000 0.000 x1
2 Mg 0.000 0.000 0.334 x2
3 Zr 0.000 0.500 0.165 x4
4 Zr 0.000 0.500 0.500 x2
5 Zr 0.500 0.500 0.000 x1
6 Zr 0.500 0.500 0.337 x2

---

DFT (PBE) results for Ho3ErTm7 after structural relaxation.

The value obtained for the excess energy over the best structure of this formula in the dataset is 34 meV/atom. As for the formation enthalpy at 0 K: 0.197 eV/atom.

abc: 6.9307 6.9307 8.4649
angles: 90.00 90.00 120.00
Space group P3m1 (No. 156)
Asymmetric unit:
1 Ho 0.9999 0.4999 0.0000 x3
2 Er 0.3333 0.6667 0.3358 x1
3 Tm 0.1678 0.3356 0.6646 x3
4 Tm 0.3356 0.1678 0.3359 x3
5 Tm 0.6667 0.3333 0.6646 x1

---

| no. | density (g/cm³) |
| --- | --- |
| 1 | 6.0 |
| 2 | 7.0 |
| 3 | 11.7 |
| 4 | 8.1 |
| 5 | 10.8 |
| 6 | 4.9 |
| 7 | 8.3 |
| 8 | 9.4 |
| 9 | 4.6 |
| 10 | 8.1 |
| 11 | 6.4 |
| 12 | 8.7 |